First-principles (PBEsol) data for a geometry-optimized NiSbOs structure, as listed in Alexandria.

a = 4.878 Å, b = 4.878 Å, c = 4.878 Å
α = 141.62°, β = 141.62°, γ = 55.40°
Element x y z (fractional)
Ni: 0.000 0.000 0.000
Sb: 0.347 0.347 0.000
Os: 0.673 0.673 0.000

## Properties
formation energy without anion corrections = 0.42 eV per atom
calculated total energy = -7.23 eV per atom
DOS(E_F) = 4.32 states/eV per cell